DFT (PBE+U) results for an optimized crystal structure of Ti2Fe3Bi3Pb2O15.

Unit cell a=13.6583 b=13.6583 c=4.8508 alpha=90.00 beta=90.00 gamma=157.28
Last column: nearest neighbours and their distance in Å.
Fractional coordinates of all 25 atoms:
Ti: 0.2011 0.7989 0.5461  3 O 1.76-1.94
Ti: 0.7989 0.2011 0.5461  3 O 1.76-1.94
Fe: 0.3990 0.6010 0.5387  5 O 1.85-2.04
Fe: 0.0000 0.0000 0.5322  5 O 1.85-2.03
Fe: 0.6010 0.3990 0.5387  5 O 1.85-2.04
Bi: 0.9023 0.0977 0.9573  4 O 2.30-2.32
Bi: 0.5000 0.5000 0.9606  4 O 2.32
Bi: 0.0977 0.9023 0.9573  4 O 2.30-2.32
Pb: 0.6955 0.3045 0.0004  5 O 2.43-2.71
Pb: 0.3045 0.6955 0.0004  5 O 2.43-2.71
O: 0.1946 0.8054 0.1857  1 Ti 1.76
O: 0.5000 0.0000 0.6469  2 Ti 1.94
O: 0.8054 0.1946 0.1857  1 Ti 1.76
O: 0.0000 0.5000 0.6469  2 Ti 1.94
O: 0.0920 0.3904 0.6801  1 Ti 2.01, 1 Fe 2.02
O: 0.4015 0.5985 0.1571  1 Fe 1.85
O: 0.6096 0.9080 0.6801  1 Ti 2.01, 1 Fe 2.02
O: 0.6994 0.7986 0.6808  2 Fe 2.03-2.04
O: 0.0000 0.0000 0.1514  1 Fe 1.85
O: 0.2014 0.3006 0.6808  2 Fe 2.03-2.04
O: 0.3006 0.2014 0.6808  2 Fe 2.03-2.04
O: 0.5985 0.4015 0.1571  1 Fe 1.85
O: 0.7986 0.6994 0.6808  2 Fe 2.03-2.04
O: 0.9080 0.6096 0.6801  1 Ti 2.01, 1 Fe 2.02
O: 0.3904 0.0920 0.6801  1 Ti 2.01, 1 Fe 2.02

- Space group: Cmm2 (35)
- Energy: -6.7684 eV per atom
- Mass density: 7.3 g cm⁻³